No. 1
A plane-wave DFT calculation with PBE-GGA was carried out for a relaxed structure of LaPmPaPb.

The space group is F-43m (No. 216) and the conventional cell measures 7.831, 7.831 and 7.831 Å, with angles of 90.00, 90.00 and 90.00 degrees. The inequivalent atoms are La at (0.000, 0.000, 0.000), Pm at (0.000, 0.000, 0.500), Pa at (0.250, 0.250, 0.750) and Pb at (0.250, 0.250, 0.250).

The calculation puts the energy of formation at 0.14 eV/atom. As for the density: 9.99 g/cm3.

=====

No. 2
A plane-wave DFT calculation with PBE-GGA was carried out for a relaxed structure of LiSmTlIr.

The space group is F-43m (No. 216) and the conventional cell measures 6.869, 6.869 and 6.869 Å, with angles of 90.00, 90.00 and 90.00 degrees. The inequivalent atoms are Li at (0.000, 0.000, 0.000), Sm at (0.250, 0.250, 0.250), Tl at (0.250, 0.250, 0.750) and Ir at (0.000, 0.000, 0.500).

The calculation puts the energy of formation at -0.31 eV/atom. As for the density: 11.35 g/cm3.

=====

No. 3
A plane-wave DFT calculation with PBE-GGA was carried out for a relaxed structure of KTl4Au2.

The space group is Cmmm (No. 65) and the conventional cell measures 4.808, 17.823 and 4.851 Å, with angles of 90.00, 90.00 and 90.00 degrees. The inequivalent atoms are K at (0.000, 0.000, 0.000), Tl at (0.000, 0.178, 0.500), Tl at (0.000, 0.322, 0.000) and Au at (0.000, 0.424, 0.500).

The calculation puts the energy of formation at -0.12 eV/atom. As for the density: 9.99 g/cm3. The value obtained for the energy relative to the lowest polymorph listed for this composition is 9 meV/atom.

=====

No. 4
A plane-wave DFT calculation with PBE-GGA was carried out for a relaxed structure of FeTeOs2.

The space group is Pmm2 (No. 25) and the conventional cell measures 2.906, 3.689 and 5.968 Å, with angles of 90.00, 90.00 and 90.00 degrees. The inequivalent atoms are Fe at (0.000, 0.000, 0.000), Te at (0.500, 0.500, 0.757), Os at (0.000, 0.000, 0.426) and Os at (0.500, 0.500, 0.222).

Its total DFT energy (no corrections) is -31.52 eV per formula unit. As for the density: 14.63 g/cm3.

=====

No. 5
A plane-wave DFT calculation with PBE-GGA was carried out for a relaxed structure of Li4Ac2CdHg3.

The space group is P-4m2 (No. 115) and the conventional cell measures 4.637, 4.637 and 11.497 Å, with angles of 90.00, 90.00 and 90.00 degrees. The inequivalent atoms are Li at (0.000, 0.000, 0.000), Li at (0.000, 0.500, 0.375), Li at (0.500, 0.500, 0.000), Ac at (0.000, 0.500, 0.742), Cd at (0.500, 0.500, 0.500), Hg at (0.000, 0.000, 0.500) and Hg at (0.000, 0.500, 0.139).

The calculation puts the energy of formation at -0.31 eV/atom. As for the density: 8.03 g/cm3.

=====

No. 6
A plane-wave DFT calculation with PBE-GGA was carried out for a relaxed structure of Sm4Te2Pd.

The space group is Imma (No. 74) and the conventional cell measures 9.086, 9.768 and 9.970 Å, with angles of 90.00, 90.00 and 90.00 degrees. The inequivalent atoms are Sm at (0.000, 0.034, 0.189), Sm at (0.208, 0.250, 0.564), Te at (0.000, 0.000, 0.500), Te at (0.250, 0.250, 0.250) and Pd at (0.000, 0.250, 0.833).

Its total DFT energy (no corrections) is -36.65 eV per formula unit. As for the density: 7.23 g/cm3.

=====

- What is the formula in the fifth record?
  Li4Ac2CdHg3